#a
RbCaLa2 | GGA-PBE | relaxed

Results
Magnetization ... 0.000 μB per atom
SG ... No. 225

a b c (Å): 8.918 8.918 8.918
angles (deg): 90.00 90.00 90.00
Element x y z (fractional)
Rb 0.000 0.000 0.000
Rb 0.000 0.500 0.500
Rb 0.500 0.000 0.500
Rb 0.500 0.500 0.000
Ca 0.000 0.000 0.500
Ca 0.000 0.500 0.000
Ca 0.500 0.000 0.000
Ca 0.500 0.500 0.500
La 0.250 0.250 0.250
La 0.250 0.250 0.750
La 0.250 0.750 0.250
La 0.250 0.750 0.750
La 0.750 0.250 0.250
La 0.750 0.250 0.750
La 0.750 0.750 0.250
La 0.750 0.750 0.750


#b
RbCaLa2 | GGA-PBE | relaxed

Results
Magnetization ... 0.000 μB per atom
SG ... No. 122

a b c (Å): 5.035 5.035 27.956
angles (deg): 90.00 90.00 90.00
Element x y z (fractional)
Rb 0.000 0.000 0.000
Rb 0.000 0.500 0.250
Rb 0.500 0.000 0.750
Rb 0.500 0.500 0.500
Ca 0.000 0.000 0.500
Ca 0.000 0.500 0.750
Ca 0.500 0.000 0.250
Ca 0.500 0.500 0.000
La 0.233 0.750 0.625
La 0.250 0.233 0.375
La 0.250 0.267 0.875
La 0.267 0.750 0.125
La 0.733 0.250 0.125
La 0.750 0.733 0.875
La 0.750 0.767 0.375
La 0.767 0.250 0.625


Quick look at relative energies in meV per atom: #a 0; #b 68.